[1]
BiBOF2 | the Alexandria database | GGA-PBEsol | relaxed; formation energy without anion corrections = -1.15 eV/atom
1.0
-1.237 -1.218 -2.100
1.685 -4.187 1.435
-3.868 -0.647 2.654
B Bi O F
1 1 1 2
direct
0.000 0.000 0.000
0.500 0.500 0.500
0.500 0.000 0.000
0.000 0.000 0.500
0.000 0.500 0.000

[2]
FeBiB2 | the Alexandria database | GGA-PBEsol | relaxed; formation energy from the elements = 54.25 kJ/mol of atoms
1.0
3.789 0.000 0.000
0.000 3.789 0.000
-1.895 -1.895 7.119
B Bi Fe
4 2 2
direct
0.625 0.375 0.750
0.125 0.375 0.750
0.625 0.875 0.250
0.625 0.375 0.250
0.000 0.000 0.000
0.250 0.750 0.500
0.500 0.500 0.000
0.750 0.250 0.500

[3]
GeBiB3 | the Alexandria database | GGA-PBEsol | relaxed; formation energy from the elements = 158.83 kJ/mol of atoms
1.0
-1.768 -1.833 -3.361
3.808 -1.219 -1.338
-0.390 -3.596 2.166
Ge B Bi
1 3 1
direct
0.000 0.000 0.000
0.000 0.500 0.000
0.000 0.000 0.500
0.500 0.000 0.000
0.500 0.500 0.500

[4]
The following is a GGA-PBEsol calculation of a relaxed Bi3BH crystal, from the Alexandria database.

Structure (POSCAR):
```
Bi3BH
1.0
4.752 0.000 0.000
0.000 4.752 0.000
0.000 0.000 4.752
H B Bi
1 1 3
direct
0.000 0.000 0.000
0.500 0.500 0.500
0.000 0.500 0.000
0.000 0.000 0.500
0.500 0.000 0.000
```

[5]
The following is a GGA-PBEsol calculation of a relaxed Bi2BH crystal, from the Alexandria database.

Structure (POSCAR):
```
Bi2BH
1.0
4.605 0.000 0.000
2.302 3.988 0.000
2.302 1.329 3.760
H B Bi
1 1 2
direct
0.000 0.000 0.000
0.500 0.500 0.500
0.250 0.250 0.250
0.750 0.750 0.750
```

[6]
The following is a GGA-PBEsol calculation of a relaxed BiB4H3O9 crystal, from the Alexandria database.

Structure (POSCAR):
```
BiB4H3O9
1.0
4.308 0.011 -0.134
-0.034 8.611 -0.132
-1.568 -4.074 9.500
Bi B H O
2 8 6 18
direct
0.941 0.505 0.895
0.246 0.160 0.987
0.984 0.044 0.431
0.103 0.935 0.183
0.832 0.199 0.285
0.084 0.730 0.698
0.355 0.466 0.596
0.203 0.622 0.450
0.632 0.889 0.809
0.555 0.776 0.073
0.649 0.283 0.543
0.537 0.382 0.339
0.023 0.913 0.556
0.164 0.752 0.326
0.062 0.487 0.161
0.126 0.178 0.721
0.004 0.101 0.189
0.183 0.564 0.693
0.111 0.928 0.324
0.879 0.795 0.075
0.414 0.917 0.148
0.849 0.183 0.415
0.533 0.347 0.621
0.654 0.318 0.260
0.077 0.737 0.558
0.338 0.482 0.466
0.308 0.870 0.806
0.773 0.748 0.733
0.976 0.030 0.555
0.211 0.636 0.326
0.426 0.615 0.991
0.761 0.050 0.890
0.988 0.403 0.059
0.199 0.263 0.822
```

[7]
The following is a GGA-PBEsol calculation of a relaxed BiB2HSe crystal, from the Alexandria database.

Structure (POSCAR):
```
BiB2HSe
1.0
3.419 0.000 0.000
0.000 4.545 0.000
0.000 0.000 4.545
H B Bi Se
1 2 1 1
direct
0.000 0.000 0.000
0.000 0.000 0.500
0.000 0.500 0.000
0.500 0.500 0.500
0.500 0.000 0.000
```

[8]
Hf2BiB | the Alexandria database | GGA-PBEsol | relaxed; formation energy from the elements = 53.41 kJ/mol of atoms
1.0
4.722 0.000 0.000
2.361 4.089 0.000
2.361 1.363 3.855
B Hf Bi
1 2 1
direct
0.000 0.000 0.000
0.250 0.250 0.250
0.750 0.750 0.750
0.500 0.500 0.500

[9]
Hg2BiB | the Alexandria database | GGA-PBEsol | relaxed; formation energy from the elements = 100.66 kJ/mol of atoms
1.0
4.980 0.000 0.000
2.490 4.312 0.000
2.490 1.437 4.066
B Bi Hg
1 1 2
direct
0.000 0.000 0.000
0.500 0.500 0.500
0.250 0.250 0.250
0.750 0.750 0.750

[10]
BiBI2 | the Alexandria database | GGA-PBEsol | relaxed; formation energy without anion corrections = 1.08 eV/atom
1.0
5.306 0.000 0.000
2.653 4.595 0.000
2.653 1.532 4.332
I B Bi
2 1 1
direct
0.250 0.250 0.250
0.750 0.750 0.750
0.000 0.000 0.000
0.500 0.500 0.500

[11]
BiB2I | the Alexandria database | GGA-PBEsol | relaxed; formation energy without anion corrections = 1.82 eV/atom
1.0
-0.918 -3.918 2.403
3.467 -2.278 2.181
0.232 0.013 4.682
I B Bi
1 2 1
direct
0.000 0.000 0.000
0.250 0.250 0.250
0.750 0.750 0.750
0.500 0.500 0.500

[12]
BiBIO2 | the Alexandria database | GGA-PBEsol | relaxed; formation energy without anion corrections = 0.57 eV/atom
1.0
4.185 0.000 0.000
0.000 4.185 0.000
0.000 0.000 6.555
I B Bi O
1 1 1 2
direct
0.000 0.000 0.500
0.500 0.500 0.500
0.000 0.000 0.000
0.000 0.500 0.000
0.500 0.000 0.000

DFT total energy in eV/atom, matching the order above: -5.229 -6.258 -4.409 -3.576 -3.739 -7.199 -3.565 -7.523 -2.066 -2.632 -3.203 -4.141
Density of states at the Fermi level in states/eV/cell, matching the order above: 2.2 5.9 2.5 2.5 2.1 0.0 2.1 5.9 2.0 2.3 2.2 1.0